[1]
Computed, not measured: crystalline TiReOs3 at its relaxed geometry at the PBEsol level of DFT.

Calculated values
Total magnetic moment   0.07 Bohr magnetons per cell
DFT total energy   -9.584 eV/atom
Volume   19.8 Å³/atom

Structure (CIF):
```
data_TiReOs3
_cell_length_a 4.629
_cell_length_b 4.629
_cell_length_c 4.629
_cell_angle_alpha 90.00
_cell_angle_beta 90.00
_cell_angle_gamma 90.00
_symmetry_space_group_name_H-M 'P m -3 m'
_symmetry_Int_Tables_number 221
_symmetry_space_group_name_Hall '-P 4 2 3'
loop_
_atom_site_label
_atom_site_type_symbol
_atom_site_fract_x
_atom_site_fract_y
_atom_site_fract_z
Ti1 Ti 0.000 0.000 0.000
Re1 Re 0.500 0.500 0.500
Os1 Os 0.000 0.500 0.500
```

=====

[2]
Computed, not measured: crystalline La2GeS5 at its relaxed geometry at the PBEsol level of DFT.

Calculated values
Total magnetic moment   0.00 Bohr magnetons per cell
Energy relative to the elements, uncorrected   -1.562 eV/atom
Volume   22.9 Å³/atom

Structure (CIF):
```
data_La2GeS5
_cell_length_a 7.556
_cell_length_b 12.632
_cell_length_c 7.819
_cell_angle_alpha 90.00
_cell_angle_beta 101.17
_cell_angle_gamma 90.00
_symmetry_space_group_name_H-M 'P 1 21/c 1'
_symmetry_Int_Tables_number 14
loop_
_symmetry_equiv_pos_as_xyz
'x,y,z'
'-x,-y,-z'
'-x,y+1/2,-z+1/2'
'x,-y+1/2,z+1/2'
loop_
_atom_site_label
_atom_site_type_symbol
_atom_site_fract_x
_atom_site_fract_y
_atom_site_fract_z
La1 La 0.158 0.167 0.135
La2 La 0.238 0.594 0.039
Ge1 Ge 0.340 0.617 0.589
S1 S 0.125 0.707 0.696
S2 S 0.141 0.120 0.502
S3 S 0.169 0.525 0.379
S4 S 0.422 0.008 0.284
S5 S 0.459 0.236 0.954
```

=====

[3]
Computed, not measured: crystalline BeSbIr3 at its relaxed geometry at the PBEsol level of DFT.

Calculated values
Total magnetic moment   0.00 Bohr magnetons per cell
Energy relative to the elements, uncorrected   0.393 eV/atom
Volume   14.8 Å³/atom

Structure (CIF):
```
data_BeSbIr3
_cell_length_a 4.197
_cell_length_b 4.197
_cell_length_c 4.197
_cell_angle_alpha 90.00
_cell_angle_beta 90.00
_cell_angle_gamma 90.00
_symmetry_space_group_name_H-M 'P m -3 m'
_symmetry_Int_Tables_number 221
_symmetry_space_group_name_Hall '-P 4 2 3'
loop_
_atom_site_label
_atom_site_type_symbol
_atom_site_fract_x
_atom_site_fract_y
_atom_site_fract_z
Be1 Be 0.000 0.000 0.000
Sb1 Sb 0.500 0.500 0.500
Ir1 Ir 0.000 0.000 0.500
```

=====

[4]
Computed, not measured: crystalline IrRhCl at its relaxed geometry at the PBEsol level of DFT.

Calculated values
Total magnetic moment   0.01 Bohr magnetons per cell
Offset from the most stable computed form   0.000 eV/atom
Energy relative to the elements, uncorrected   0.465 eV/atom
Volume   14.5 Å³/atom

Structure (CIF):
```
data_IrRhCl
_cell_length_a 2.8790
_cell_length_b 2.8790
_cell_length_c 6.0500
_cell_angle_alpha 90.00
_cell_angle_beta 90.00
_cell_angle_gamma 120.00
_symmetry_space_group_name_H-M 'P 3 m 1'
_symmetry_Int_Tables_number 156
loop_
_symmetry_equiv_pos_as_xyz
'x,y,z'
'-y,x-y,z'
'-x+y,-x,z'
'-y,-x,z'
'-x+y,y,z'
'x,x-y,z'
loop_
_atom_site_label
_atom_site_type_symbol
_atom_site_fract_x
_atom_site_fract_y
_atom_site_fract_z
Ir1 Ir 0.0000 0.0000 0.0000
Rh1 Rh 0.6667 0.3333 0.6710
Cl1 Cl 0.3333 0.6667 0.3524
```

=====

[5]
Computed, not measured: crystalline TiRu3 at its relaxed geometry at the PBEsol level of DFT.

Calculated values
Total magnetic moment   0.00 Bohr magnetons per cell
DFT total energy   -9.882 eV/atom
Volume   13.7 Å³/atom

Structure (CIF):
```
data_TiRu3
_cell_length_a 3.803
_cell_length_b 3.803
_cell_length_c 3.803
_cell_angle_alpha 90.00
_cell_angle_beta 90.00
_cell_angle_gamma 90.00
_symmetry_space_group_name_H-M 'P m -3 m'
_symmetry_Int_Tables_number 221
_symmetry_space_group_name_Hall '-P 4 2 3'
loop_
_atom_site_label
_atom_site_type_symbol
_atom_site_fract_x
_atom_site_fract_y
_atom_site_fract_z
Ti1 Ti 0.000 0.000 0.000
Ru1 Ru 0.000 0.500 0.500
```

=====

[6]
Computed, not measured: crystalline ScZn at its relaxed geometry at the PBEsol level of DFT.

Calculated values
Total magnetic moment   0.78 Bohr magnetons per cell
DFT total energy   -4.359 eV/atom
Volume   18.1 Å³/atom

Structure (CIF):
```
data_ScZn
_cell_length_a 3.218
_cell_length_b 4.640
_cell_length_c 9.701
_cell_angle_alpha 90.00
_cell_angle_beta 90.00
_cell_angle_gamma 90.00
_symmetry_space_group_name_H-M 'I m m a'
_symmetry_Int_Tables_number 74
_symmetry_space_group_name_Hall '-I 2b 2'
loop_
_atom_site_label
_atom_site_type_symbol
_atom_site_fract_x
_atom_site_fract_y
_atom_site_fract_z
Sc1 Sc 0.000 0.250 0.110
Zn1 Zn 0.000 0.250 0.650
```

=====

[7]
Computed, not measured: crystalline FeCuPt2 at its relaxed geometry at the PBEsol level of DFT.

Calculated values
Total magnetic moment   3.58 Bohr magnetons per cell
DFT total energy   -6.914 eV/atom
Volume   13.4 Å³/atom

Structure (CIF):
```
data_FeCuPt2
_cell_length_a 2.689
_cell_length_b 3.774
_cell_length_c 5.296
_cell_angle_alpha 90.00
_cell_angle_beta 90.00
_cell_angle_gamma 90.00
_symmetry_space_group_name_H-M 'P m m 2'
_symmetry_Int_Tables_number 25
loop_
_symmetry_equiv_pos_as_xyz
'x,y,z'
'-x,-y,z'
'-x,y,z'
'x,-y,z'
loop_
_atom_site_label
_atom_site_type_symbol
_atom_site_fract_x
_atom_site_fract_y
_atom_site_fract_z
Fe1 Fe 0.000 0.000 0.000
Cu1 Cu 0.500 0.500 0.750
Pt1 Pt 0.000 0.000 0.522
Pt2 Pt 0.500 0.500 0.231
```

=====

[8]
Computed, not measured: crystalline Co2P at its relaxed geometry at the PBEsol level of DFT.

Calculated values
Total magnetic moment   3.71 Bohr magnetons per cell
DFT total energy   -7.466 eV/atom
Volume   10.4 Å³/atom

Structure (CIF):
```
data_Co2P
_cell_length_a 8.438
_cell_length_b 2.684
_cell_length_c 5.551
_cell_angle_alpha 90.00
_cell_angle_beta 95.01
_cell_angle_gamma 90.00
_symmetry_space_group_name_H-M 'C 1 m 1'
_symmetry_Int_Tables_number 8
loop_
_symmetry_equiv_pos_as_xyz
'x,y,z'
'x,-y,z'
'x+1/2,y+1/2,z'
'x+1/2,-y+1/2,z'
loop_
_atom_site_label
_atom_site_type_symbol
_atom_site_fract_x
_atom_site_fract_y
_atom_site_fract_z
Co1 Co 0.000 0.000 0.000
Co2 Co 0.085 0.000 0.577
Co3 Co 0.235 0.500 0.258
Co4 Co 0.358 0.000 0.658
P1 P 0.209 0.500 0.866
P2 P 0.452 0.000 0.299
```

=====

[9]
Computed, not measured: crystalline AlCrRu2 at its relaxed geometry at the PBEsol level of DFT.

Calculated values
Total magnetic moment   0.00 Bohr magnetons per cell
DFT total energy   -8.770 eV/atom
Volume   13.0 Å³/atom

Structure (CIF):
```
data_AlCrRu2
_cell_length_a 2.702
_cell_length_b 3.892
_cell_length_c 4.947
_cell_angle_alpha 90.00
_cell_angle_beta 90.00
_cell_angle_gamma 90.00
_symmetry_space_group_name_H-M 'P m m 2'
_symmetry_Int_Tables_number 25
loop_
_symmetry_equiv_pos_as_xyz
'x,y,z'
'-x,-y,z'
'-x,y,z'
'x,-y,z'
loop_
_atom_site_label
_atom_site_type_symbol
_atom_site_fract_x
_atom_site_fract_y
_atom_site_fract_z
Al1 Al 0.000 0.000 0.000
Cr1 Cr 0.500 0.500 0.261
Ru1 Ru 0.000 0.000 0.491
Ru2 Ru 0.500 0.500 0.793
```

=====

[10]
Computed, not measured: crystalline Mn2CoSi at its relaxed geometry at the PBEsol level of DFT.

Calculated values
Total magnetic moment   12.02 Bohr magnetons per cell
Energy relative to the elements, uncorrected   -0.379 eV/atom
Volume   10.7 Å³/atom

Structure (CIF):
```
data_Mn2CoSi
_cell_length_a 5.546
_cell_length_b 5.546
_cell_length_c 5.546
_cell_angle_alpha 90.00
_cell_angle_beta 90.00
_cell_angle_gamma 90.00
_symmetry_space_group_name_H-M 'F -4 3 m'
_symmetry_Int_Tables_number 216
_symmetry_space_group_name_Hall 'F -4 2 3'
loop_
_atom_site_label
_atom_site_type_symbol
_atom_site_fract_x
_atom_site_fract_y
_atom_site_fract_z
Mn1 Mn 0.000 0.000 0.000
Mn2 Mn 0.250 0.250 0.250
Co1 Co 0.250 0.250 0.750
Si1 Si 0.000 0.000 0.500
```

=====

[11]
Computed, not measured: crystalline MgSc3 at its relaxed geometry at the PBEsol level of DFT.

Calculated values
Total magnetic moment   0.02 Bohr magnetons per cell
Offset from the most stable computed form   0.082 eV/atom
Volume   23.2 Å³/atom

Structure (CIF):
```
data_MgSc3
_cell_length_a 7.186
_cell_length_b 7.186
_cell_length_c 7.186
_cell_angle_alpha 90.00
_cell_angle_beta 90.00
_cell_angle_gamma 90.00
_symmetry_space_group_name_H-M 'F m -3 m'
_symmetry_Int_Tables_number 225
_symmetry_space_group_name_Hall '-F 4 2 3'
loop_
_atom_site_label
_atom_site_type_symbol
_atom_site_fract_x
_atom_site_fract_y
_atom_site_fract_z
Mg1 Mg 0.000 0.000 0.000
Sc1 Sc 0.000 0.000 0.500
Sc2 Sc 0.250 0.250 0.250
```

=====

[12]
Computed, not measured: crystalline Al2AgIr at its relaxed geometry at the PBEsol level of DFT.

Calculated values
Total magnetic moment   0.00 Bohr magnetons per cell
DFT total energy   -5.743 eV/atom
Volume   14.6 Å³/atom

Structure (CIF):
```
data_Al2AgIr
_cell_length_a 3.727
_cell_length_b 3.736
_cell_length_c 8.364
_cell_angle_alpha 90.00
_cell_angle_beta 90.00
_cell_angle_gamma 90.00
_symmetry_space_group_name_H-M 'I m m 2'
_symmetry_Int_Tables_number 44
loop_
_symmetry_equiv_pos_as_xyz
'x,y,z'
'-x,-y,z'
'-x,y,z'
'x,-y,z'
'x+1/2,y+1/2,z+1/2'
'-x+1/2,-y+1/2,z+1/2'
'-x+1/2,y+1/2,z+1/2'
'x+1/2,-y+1/2,z+1/2'
loop_
_atom_site_label
_atom_site_type_symbol
_atom_site_fract_x
_atom_site_fract_y
_atom_site_fract_z
Al1 Al 0.000 0.000 0.000
Al2 Al 0.000 0.500 0.249
Ag1 Ag 0.000 0.000 0.499
Ir1 Ir 0.000 0.500 0.749
```

=====

[13]
Computed, not measured: crystalline Fe2AsOs at its relaxed geometry at the PBEsol level of DFT.

Calculated values
Total magnetic moment   0.06 Bohr magnetons per cell
DFT total energy   -8.580 eV/atom
Volume   11.9 Å³/atom

Structure (CIF):
```
data_Fe2AsOs
_cell_length_a 3.639
_cell_length_b 3.639
_cell_length_c 7.194
_cell_angle_alpha 90.00
_cell_angle_beta 90.00
_cell_angle_gamma 90.00
_symmetry_space_group_name_H-M 'I 4/m m m'
_symmetry_Int_Tables_number 139
_symmetry_space_group_name_Hall '-I 4 2'
loop_
_atom_site_label
_atom_site_type_symbol
_atom_site_fract_x
_atom_site_fract_y
_atom_site_fract_z
Fe1 Fe 0.000 0.500 0.250
As1 As 0.000 0.000 0.000
Os1 Os 0.000 0.000 0.500
```

=====

[14]
Computed, not measured: crystalline CrFeSb2Te at its relaxed geometry at the PBEsol level of DFT.

Calculated values
Total magnetic moment   4.96 Bohr magnetons per cell
Energy relative to the elements, uncorrected   0.979 eV/atom
Volume   24.8 Å³/atom

Structure (CIF):
```
data_CrFeSb2Te
_cell_length_a 4.919
_cell_length_b 4.919
_cell_length_c 5.135
_cell_angle_alpha 90.00
_cell_angle_beta 90.00
_cell_angle_gamma 90.00
_symmetry_space_group_name_H-M 'P 4/m m m'
_symmetry_Int_Tables_number 123
_symmetry_space_group_name_Hall '-P 4 2'
loop_
_atom_site_label
_atom_site_type_symbol
_atom_site_fract_x
_atom_site_fract_y
_atom_site_fract_z
Cr1 Cr 0.000 0.000 0.000
Fe1 Fe 0.500 0.500 0.500
Sb1 Sb 0.000 0.500 0.000
Te1 Te 0.000 0.000 0.500
```

=====

[15]
Computed, not measured: crystalline SbOs2W at its relaxed geometry at the PBEsol level of DFT.

Calculated values
Total magnetic moment   0.00 Bohr magnetons per cell
Energy relative to the elements, uncorrected   0.714 eV/atom
Volume   15.8 Å³/atom

Structure (CIF):
```
data_SbOs2W
_cell_length_a 6.328
_cell_length_b 6.328
_cell_length_c 6.328
_cell_angle_alpha 90.00
_cell_angle_beta 90.00
_cell_angle_gamma 90.00
_symmetry_space_group_name_H-M 'F -4 3 m'
_symmetry_Int_Tables_number 216
_symmetry_space_group_name_Hall 'F -4 2 3'
loop_
_atom_site_label
_atom_site_type_symbol
_atom_site_fract_x
_atom_site_fract_y
_atom_site_fract_z
Sb1 Sb 0.000 0.000 0.000
Os1 Os 0.000 0.000 0.500
Os2 Os 0.250 0.250 0.250
W1 W 0.250 0.250 0.750
```